Entry 1:
## PSeS3 (PBE)

Data for an optimized crystal structure of PSeS3.

Properties
Uncorrected energy = -20.6 eV per formula unit
SG = P2_1/m (11)
Energy above the most stable polymorph in this dataset = 0.0 meV per atom
Raw formation energy = 0.134 eV per atom
Density of states at the Fermi level = 0.229 states/eV per atom
Magnetic moment = 0.00 μB/cell

POSCAR file:
```
PSeS3
1.0
-1.334 2.605 1.424
6.409 -1.694 9.104
10.155 3.283 3.513
P S Se
2 6 2
direct
0.595 0.229 0.446
0.094 0.532 0.613
0.095 0.098 0.448
0.594 0.662 0.611
0.094 0.100 0.065
0.594 0.661 0.994
0.094 0.639 0.363
0.594 0.122 0.696
0.594 0.904 0.155
0.094 0.857 0.904
```



Entry 2:
## PSeS (PBE)

Data for an optimized crystal structure of PSeS.

Properties
Uncorrected energy = -12.9 eV per formula unit
SG = Cm (8)
Energy above the most stable polymorph in this dataset = 43.6 meV per atom
Raw formation energy = 0.032 eV per atom
Magnetic moment = 0.00 μB/cell

POSCAR file:
```
PSeS
1.0
-3.885 -5.145 0.501
1.362 -0.317 7.312
-2.942 8.042 0.896
Se S P
4 4 4
direct
0.648 0.747 0.897
0.648 0.753 0.397
0.648 0.247 0.397
0.648 0.253 0.897
0.023 0.234 0.668
0.023 0.266 0.168
0.023 0.766 0.668
0.023 0.734 0.168
0.029 0.000 0.805
0.029 0.500 0.305
0.648 0.000 0.754
0.648 0.500 0.254
```



Entry 3:
## P3SeS (PBE)

Data for an optimized crystal structure of P3SeS.

Properties
Uncorrected energy = -16.6 eV per formula unit
SG = Pm-3m (221)
Energy above the most stable polymorph in this dataset = 374.0 meV per atom
Raw formation energy = 1.447 eV per atom
Density of states at the Fermi level = 1.132 states/eV per atom
Magnetic moment = 0.00 μB/cell

POSCAR file:
```
P3SeS
1.0
4.770 0.000 0.000
0.000 4.770 0.000
0.000 0.000 4.770
P Se S
3 1 1
direct
0.000 0.000 0.500
0.500 0.000 0.000
0.000 0.500 0.000
0.000 0.000 0.000
0.500 0.500 0.500
```



What did the first record say?
## PSeS3 (PBE)

Data for an optimized crystal structure of PSeS3.

Properties
Uncorrected energy = -20.6 eV per formula unit
SG = P2_1/m (11)
Energy above the most stable polymorph in this dataset = 0.0 meV per atom
Raw formation energy = 0.134 eV per atom
Density of states at the Fermi level = 0.229 states/eV per atom
Magnetic moment = 0.00 μB/cell

POSCAR file:
```
PSeS3
1.0
-1.334 2.605 1.424
6.409 -1.694 9.104
10.155 3.283 3.513
P S Se
2 6 2
direct
0.595 0.229 0.446
0.094 0.532 0.613
0.095 0.098 0.448
0.594 0.662 0.611
0.094 0.100 0.065
0.594 0.661 0.994
0.094 0.639 0.363
0.594 0.122 0.696
0.594 0.904 0.155
0.094 0.857 0.904
```



Question: What is the magnetic moment in the third record?
Answer: 0.00 μB/cell



Question: Number 1 is which compound?
Answer: PSeS3



Question: Which formula does entry 1 have?
Answer: PSeS3